Computed, not measured: a relaxed structure of Ag2IrPb at the PBE level of DFT.

a b c (Å): 9.9489 9.9489 9.9489
angles (deg): 17.64 17.64 17.64
With the nearest neighbours (Å) after each atom.
Fractional coordinates of all 4 atoms:
1 Pb 0.7500 0.7500 0.7500  6 Pb 3.05, 6 Ag 3.21
2 Ag 0.5079 0.5079 0.5079  3 Ir 2.83, 6 Ag 3.05
3 Ag 0.9921 0.9921 0.9921  3 Ir 2.83, 6 Ag 3.05
4 Ir 0.2500 0.2500 0.2500  6 Ag 2.83, 6 Ir 3.05

Calculated values
For the formation energy, the calculation gives 487 meV/atom. The size of the total moment comes out at 0.71 μB/f.u. The value obtained for the total energy is -16.325 eV per cell.